Entry 1:
TbSm2UAs4 | PBE | optimized geometry

Cell lengths 7.203, 4.145, 7.206 Å; angles 90.00, 109.15, 90.00 degrees
Sites, in units of the cell vectors:
Tb 0.000 0.000 0.000
Sm 0.000 0.500 0.500
Sm 0.500 0.000 0.500
U 0.500 0.500 0.000
As 0.252 0.500 0.241
As 0.255 0.000 0.759
As 0.745 0.000 0.241
As 0.748 0.500 0.759

Calculated values
crystal system: monoclinic
calculated formation energy: -1330 meV/atom
Fermi-level density of states: 8.40 states/eV/f.u.
SG: P2/m

Entry 2:
Co2NiN | PBE | optimized geometry

Cell lengths 7.111, 7.111, 7.111 Å; angles 21.26, 21.26, 21.26 degrees
Sites, in units of the cell vectors:
Co 0.112 0.112 0.112
Co 0.888 0.888 0.888
Ni 0.000 0.000 0.000
N 0.500 0.500 0.500

Calculated values
formation energy from raw total energies: 0.446 eV per atom
crystal system: trigonal
Fermi-level density of states: 5.96 states/eV/f.u.
SG: R-3m

Entry 3:
NaAcPb3 | PBE | optimized geometry

Cell lengths 5.003, 8.080, 8.658 Å; angles 90.00, 90.00, 90.00 degrees
Sites, in units of the cell vectors:
Na 0.001 0.250 0.371
Na 0.999 0.750 0.629
Ac 0.000 0.250 0.910
Ac 0.000 0.750 0.090
Pb 0.499 0.750 0.400
Pb 0.500 0.054 0.174
Pb 0.500 0.446 0.174
Pb 0.500 0.554 0.826
Pb 0.500 0.946 0.826
Pb 0.501 0.250 0.600

Calculated values
crystal system: monoclinic
excess energy over the best structure of this formula in the dataset: 0 meV/atom
calculated formation energy: -256 meV/atom
Fermi-level density of states: 2.47 states/eV/f.u.
SG: P2_1/m

Entry 4:
Sm3GePb | PBE | optimized geometry

Cell lengths 4.606, 7.017, 9.448 Å; angles 90.00, 90.00, 90.00 degrees
Sites, in units of the cell vectors:
Sm 0.250 0.011 0.166
Sm 0.250 0.250 0.581
Sm 0.250 0.489 0.166
Sm 0.750 0.511 0.834
Sm 0.750 0.750 0.419
Sm 0.750 0.989 0.834
Ge 0.250 0.250 0.899
Ge 0.750 0.750 0.101
Pb 0.250 0.750 0.642
Pb 0.750 0.250 0.358

Calculated values
crystal system: orthorhombic
calculated formation energy: -596 meV/atom
Fermi-level density of states: 3.98 states/eV/f.u.
SG: Pmmn

Entry 5:
MgCu2Br | PBE | optimized geometry

Cell lengths 3.350, 3.350, 7.124 Å; angles 90.00, 90.00, 90.00 degrees
Sites, in units of the cell vectors:
Mg 0.000 0.000 0.000
Cu 0.000 0.000 0.653
Cu 0.500 0.500 0.747
Br 0.500 0.500 0.212

Calculated values
formation energy from raw total energies: -0.104 eV per atom
crystal system: tetragonal
excess energy over the best structure of this formula in the dataset: 36 meV/atom
Fermi-level density of states: 1.57 states/eV/f.u.
SG: P4mm

Entry 6:
MnZn11 | PBE | optimized geometry

Cell lengths 8.195, 8.195, 8.195 Å; angles 99.82, 99.82, 131.23 degrees
Sites, in units of the cell vectors:
Mn 0.375 0.625 0.750
Mn 0.625 0.375 0.250
Zn 0.000 0.000 0.000
Zn 0.000 0.000 0.500
Zn 0.000 0.500 0.000
Zn 0.125 0.875 0.250
Zn 0.128 0.554 0.333
Zn 0.128 0.795 0.575
Zn 0.205 0.280 0.333
Zn 0.205 0.872 0.925
Zn 0.280 0.205 0.833
Zn 0.280 0.446 0.075
Zn 0.446 0.280 0.575
Zn 0.446 0.872 0.167
Zn 0.500 0.000 0.500
Zn 0.554 0.128 0.833
Zn 0.554 0.720 0.425
Zn 0.720 0.554 0.925
Zn 0.720 0.795 0.167
Zn 0.795 0.128 0.075
Zn 0.795 0.720 0.667
Zn 0.872 0.205 0.425
Zn 0.872 0.446 0.667
Zn 0.875 0.125 0.750

Calculated values
crystal system: tetragonal
calculated formation energy: 125 meV/atom
Fermi-level density of states: 3.35 states/eV/f.u.
SG: I4_1/amd

Entry 7:
NbInCuRu | PBE | optimized geometry

Cell lengths 4.514, 4.514, 4.514 Å; angles 60.00, 60.00, 60.00 degrees
Sites, in units of the cell vectors:
Nb 0.000 0.000 0.000
In 0.500 0.500 0.500
Cu 0.750 0.750 0.750
Ru 0.250 0.250 0.250

Calculated values
crystal system: cubic
calculated formation energy: -18 meV/atom
Fermi-level density of states: 4.53 states/eV/f.u.
SG: F-43m

Entry 8:
Y2HoH | PBE | optimized geometry

Cell lengths 8.789, 8.789, 8.789 Å; angles 23.58, 23.58, 23.58 degrees
Sites, in units of the cell vectors:
Y 0.000 0.000 0.000
Y 0.224 0.224 0.224
Ho 0.444 0.444 0.444
H 0.611 0.611 0.611

Calculated values
crystal system: trigonal
excess energy over the best structure of this formula in the dataset: 14 meV/atom
Fermi-level density of states: 5.08 states/eV/f.u.
SG: R3m